# Na2Mg2Ag15, relaxed, DFT GGA-PBE
# energy of formation	-37	kJ/mol of formula units
data_Na2Mg2Ag15
_cell_length_a 7.363
_cell_length_b 7.363
_cell_length_c 7.363
_cell_angle_alpha 81.54
_cell_angle_beta 81.54
_cell_angle_gamma 81.54
_symmetry_space_group_name_H-M 'P 1'
_symmetry_Int_Tables_number 1
loop_
_symmetry_equiv_pos_as_xyz
'x,y,z'
loop_
_atom_site_label
_atom_site_fract_x
_atom_site_fract_y
_atom_site_fract_z
Na1 0.151 0.151 0.151
Na2 0.849 0.849 0.849
Mg1 0.398 0.398 0.398
Mg2 0.602 0.602 0.602
Ag1 0.000 0.500 0.500
Ag2 0.153 0.153 0.653
Ag3 0.153 0.653 0.153
Ag4 0.198 0.500 0.802
Ag5 0.198 0.802 0.500
Ag6 0.347 0.847 0.847
Ag7 0.500 0.000 0.500
Ag8 0.500 0.198 0.802
Ag9 0.500 0.500 0.000
Ag10 0.500 0.802 0.198
Ag11 0.653 0.153 0.153
Ag12 0.802 0.198 0.500
Ag13 0.802 0.500 0.198
Ag14 0.847 0.347 0.847
Ag15 0.847 0.847 0.347